Model 1:
Here is a geometry-optimized TbSiH2O4 structure from OQMD. Energies are from PBE-GGA.

Unit cell a=11.6410 b=6.6361 c=4.7912 alpha=90.00 beta=107.97 gamma=90.00
Positions (direct):
O 0.0086 0.2623 0.9283
Si 0.8932 0.7650 0.7266
O 0.4914 0.7623 0.0717
O 0.3007 0.9437 0.7504
H 0.4871 0.7457 0.2905
Si 0.3932 0.7350 0.7266
O 0.3023 0.5500 0.7913
Tb 0.6709 0.7526 0.9803
H 0.9871 0.7543 0.2905
O 0.5085 0.7336 0.5884
O 0.6993 0.0563 0.2496
H 0.0129 0.2457 0.7095
H 0.7570 0.5130 0.5373
Tb 0.1709 0.7474 0.9803
Si 0.6068 0.2650 0.2734
Si 0.1068 0.2350 0.2734
O 0.9915 0.2336 0.4116
Tb 0.8291 0.2526 0.0197
H 0.5129 0.2543 0.7095
H 0.2430 0.4870 0.4627
H 0.2570 0.9870 0.5373
O 0.5086 0.2377 0.9283
Tb 0.3291 0.2474 0.0197
O 0.4915 0.2664 0.4116
O 0.0085 0.7664 0.5884
O 0.1977 0.0500 0.2087
O 0.9914 0.7377 0.0717
O 0.8023 0.9500 0.7913
O 0.6977 0.4500 0.2087
O 0.1993 0.4437 0.2496
O 0.8007 0.5563 0.7504
H 0.7430 0.0130 0.4627

Model 2:
Here is a geometry-optimized TbSiH2O4 structure from OQMD. Energies are from PBE-GGA.

Unit cell a=6.1364 b=6.1364 c=6.1364 alpha=95.80 beta=116.71 gamma=116.71
Positions (direct):
O 0.8130 0.6750 0.8628
O 0.6870 0.6120 0.2999
Tb 0.5000 0.2500 0.7500
H 0.5000 0.9802 0.4802
Si 0.5000 0.7500 0.2500
O 0.8121 0.1372 0.9501
O 0.1870 0.0499 0.8620
H 0.0000 0.7698 0.7698
Tb 0.0000 0.5000 0.5000
O 0.3121 0.7001 0.3872
H 0.0000 0.2302 0.2302
O 0.6879 0.0750 0.3880
O 0.3130 0.6128 0.9250
Si 0.0000 0.0000 0.0000
O 0.1879 0.1380 0.3250
H 0.5000 0.5198 0.0198

model 1 comes first in stability; the runner-up is 34.5 kJ/mol of atoms higher.